1.
GaW4AuN2: relaxed, PBE-GGA.

a b c (Å): 2.841 2.841 15.163
angles (deg): 90.00 90.00 120.00
Fractional coordinates of all 8 atoms:
Ga: 0.000 0.000 0.000
W: 0.000 0.000 0.339
W: 0.000 0.000 0.661
W: 0.667 0.333 0.148
W: 0.667 0.333 0.852
Au: 0.667 0.333 0.500
N: 0.333 0.667 0.244
N: 0.333 0.667 0.756

Summary:
For the total energy, the calculation gives -9.20 eV per atom.

2.
NbCdIn: relaxed, PBE-GGA.

a b c (Å): 4.670 4.670 4.670
angles (deg): 60.00 60.00 60.00
Fractional coordinates of all 3 atoms:
Nb: 0.000 0.000 0.000
Cd: 0.500 0.500 0.500
In: 0.750 0.750 0.750

Summary:
The energy above the most stable polymorph in this dataset is 2.2 meV/atom.

3.
Dy2YTl3: relaxed, PBE-GGA.

a b c (Å): 3.657 3.657 12.129
angles (deg): 90.00 90.00 90.00
Fractional coordinates of all 6 atoms:
Dy: 0.000 0.000 0.166
Dy: 0.000 0.000 0.834
Y: 0.000 0.000 0.500
Tl: 0.500 0.500 0.000
Tl: 0.500 0.500 0.333
Tl: 0.500 0.500 0.667

Summary:
For the total energy, the calculation gives -4.14 eV per atom.

Total magnetic moment (Bohr magnetons per cell)
0.00; 1.82; 0.05